# 1
# PBEsol TiSeN2F, relaxed
# formation energy without anion corrections: 1284 meV per atom
# E above lowest polymorph: 764.7 kJ/mol of formula units
data_TiSeN2F
_chemical_formula_sum 'Ti1 Se1 N2 F1'
_space_group_name_H-M_alt 'P 1'
_space_group_IT_number 1
_cell_length_a 3.903
_cell_length_b 3.903
_cell_length_c 3.856
_cell_angle_alpha 90.00
_cell_angle_beta 90.00
_cell_angle_gamma 90.00
loop_
_space_group_symop_operation_xyz
'x,y,z'
loop_
_atom_site_label
_atom_site_fract_x
_atom_site_fract_y
_atom_site_fract_z
Ti1 0.000 0.000 0.000
Se1 0.500 0.500 0.000
N1 0.000 0.500 0.500
N2 0.500 0.000 0.500
F1 0.500 0.500 0.500

# 2
# PBEsol IrSeSN2, relaxed
# formation energy without anion corrections: 830 meV per atom
data_IrSeSN2
_chemical_formula_sum 'Ir1 Se1 S1 N2'
_space_group_name_H-M_alt 'P 1'
_space_group_IT_number 1
_cell_length_a 3.714
_cell_length_b 3.714
_cell_length_c 5.410
_cell_angle_alpha 90.00
_cell_angle_beta 90.00
_cell_angle_gamma 90.00
loop_
_space_group_symop_operation_xyz
'x,y,z'
loop_
_atom_site_label
_atom_site_fract_x
_atom_site_fract_y
_atom_site_fract_z
Ir1 0.000 0.000 0.000
Se1 0.500 0.500 0.500
S1 0.000 0.000 0.500
N1 0.000 0.500 0.000
N2 0.500 0.000 0.000

# 3
# PBEsol Zr2TaTl, relaxed
# energy of formation from the pure elements: 159.6 meV/atom
# E above lowest polymorph: 83.9 kJ/mol of formula units
data_Zr2TaTl
_chemical_formula_sum 'Zr2 Ta1 Tl1'
_space_group_name_H-M_alt 'P 1'
_space_group_IT_number 1
_cell_length_a 3.016
_cell_length_b 3.016
_cell_length_c 9.492
_cell_angle_alpha 90.00
_cell_angle_beta 90.00
_cell_angle_gamma 104.57
loop_
_space_group_symop_operation_xyz
'x,y,z'
loop_
_atom_site_label
_atom_site_fract_x
_atom_site_fract_y
_atom_site_fract_z
Zr1 0.000 0.000 0.000
Zr2 0.500 0.500 0.254
Ta1 0.500 0.500 0.762
Tl1 0.000 0.000 0.514

# 4
# PBEsol LiVP2O8, relaxed
# formation energy without anion corrections: -2179 meV per atom
# E above lowest polymorph: 28.0 kJ/mol of formula units
data_LiVP2O8
_chemical_formula_sum 'Li2 V2 P4 O16'
_space_group_name_H-M_alt 'P 1'
_space_group_IT_number 1
_cell_length_a 4.889
_cell_length_b 8.192
_cell_length_c 7.809
_cell_angle_alpha 90.00
_cell_angle_beta 121.50
_cell_angle_gamma 90.00
loop_
_space_group_symop_operation_xyz
'x,y,z'
loop_
_atom_site_label
_atom_site_fract_x
_atom_site_fract_y
_atom_site_fract_z
Li1 0.000 0.000 0.000
Li2 0.000 0.500 0.500
V1 0.500 0.000 0.500
V2 0.500 0.500 0.000
P1 0.189 0.178 0.741
P2 0.189 0.322 0.241
P3 0.811 0.678 0.759
P4 0.811 0.822 0.259
O1 0.161 0.640 0.937
O2 0.161 0.860 0.437
O3 0.225 0.132 0.272
O4 0.225 0.368 0.772
O5 0.257 0.098 0.930
O6 0.257 0.402 0.430
O7 0.415 0.123 0.667
O8 0.415 0.377 0.167
O9 0.585 0.623 0.833
O10 0.585 0.877 0.333
O11 0.743 0.598 0.570
O12 0.743 0.902 0.070
O13 0.775 0.632 0.228
O14 0.775 0.868 0.728
O15 0.839 0.140 0.563
O16 0.839 0.360 0.063

# 5
# PBEsol Cs2Cu2Sb2Se5, relaxed
# formation energy without anion corrections: -539 meV per atom
data_Cs2Cu2Sb2Se5
_chemical_formula_sum 'Cs4 Cu4 Sb4 Se10'
_space_group_name_H-M_alt 'P 1'
_space_group_IT_number 1
_cell_length_a 7.515
_cell_length_b 8.729
_cell_length_c 10.267
_cell_angle_alpha 92.02
_cell_angle_beta 91.30
_cell_angle_gamma 103.61
loop_
_space_group_symop_operation_xyz
'x,y,z'
loop_
_atom_site_label
_atom_site_fract_x
_atom_site_fract_y
_atom_site_fract_z
Cs1 0.228 0.308 0.399
Cs2 0.234 0.448 0.880
Cs3 0.766 0.552 0.120
Cs4 0.772 0.692 0.601
Cu1 0.092 0.992 0.111
Cu2 0.378 0.876 0.063
Cu3 0.622 0.124 0.937
Cu4 0.908 0.008 0.889
Sb1 0.300 0.865 0.378
Sb2 0.322 0.928 0.762
Sb3 0.678 0.072 0.238
Sb4 0.700 0.135 0.622
Se1 0.026 0.111 0.685
Se2 0.072 0.799 0.925
Se3 0.252 0.687 0.584
Se4 0.350 0.662 0.209
Se5 0.410 0.162 0.113
Se6 0.590 0.838 0.887
Se7 0.650 0.338 0.791
Se8 0.748 0.313 0.416
Se9 0.928 0.201 0.075
Se10 0.974 0.889 0.315

# 6
# PBEsol CoSbI2Br, relaxed
# formation energy without anion corrections: 222 meV per atom
data_CoSbI2Br
_chemical_formula_sum 'Co1 Sb1 I2 Br1'
_space_group_name_H-M_alt 'P 1'
_space_group_IT_number 1
_cell_length_a 5.144
_cell_length_b 5.144
_cell_length_c 4.923
_cell_angle_alpha 90.00
_cell_angle_beta 90.00
_cell_angle_gamma 90.00
loop_
_space_group_symop_operation_xyz
'x,y,z'
loop_
_atom_site_label
_atom_site_fract_x
_atom_site_fract_y
_atom_site_fract_z
Co1 0.000 0.000 0.000
Sb1 0.000 0.000 0.500
I1 0.000 0.500 0.000
I2 0.500 0.000 0.000
Br1 0.500 0.500 0.500